Record 1
Entry from the Open Quantum Materials Database: a relaxed DyY2Cu4Si2Sn2 crystal (PBE).

Energy: -5.19 eV/atom
Theoretical density: 7.15 g cm⁻³

a b c (Å): 4.2319 6.8580 14.2081
angles (deg): 90.00 90.00 90.00
Last column: nearest neighbours and their distance in Å.
Space group Immm (No. 71)
Symmetry-distinct sites (fractional):
Dy1 0.0000 0.0000 0.0000 [2 per cell]  4 Sn 2.94, 2 Si 3.07
Y1 0.0000 0.5000 0.1345 [4 per cell]  6 Cu 2.91-3.08, 2 Si 3.00, 4 Sn 3.17
Cu1 0.0000 0.3105 0.3181 [8 per cell]  3 Si 2.53-2.58, 1 Cu 2.60, 1 Sn 2.69
Si1 0.0000 0.0000 0.2159 [4 per cell]  6 Cu 2.53-2.58
Sn1 0.0000 0.2032 0.5000 [4 per cell]  2 Cu 2.69, 1 Sn 2.79, 2 Dy 2.94

Record 2
Entry from the Open Quantum Materials Database: a relaxed Tl2Tc2O5 crystal (PBE).

Energy: -5.85 eV/atom
Theoretical density: 9.24 g cm⁻³

a b c (Å): 3.4402 3.4402 10.3929
angles (deg): 90.00 90.00 90.00
Last column: nearest neighbours and their distance in Å.
Space group P4/mmm (No. 123)
Symmetry-distinct sites (fractional):
Tl1 0.0000 0.0000 0.2387 [2 per cell]  5 O 2.33-2.48
Tc1 0.5000 0.5000 0.0000 [1 per cell]  4 O 2.43
Tc2 0.5000 0.5000 0.5000 [1 per cell]  8 O 2.07
O1 0.0000 0.0000 0.0000 [1 per cell]  4 Tc 2.43, 2 Tl 2.48
O2 0.0000 0.5000 0.3898 [4 per cell]  2 Tc 2.07, 1 O 2.29

Record 3
Entry from the Open Quantum Materials Database: a relaxed SmGdHoTmIn2 crystal (PBE).

Energy: -4.33 eV/atom
Theoretical density: 8.49 g cm⁻³

a b c (Å): 5.3961 5.3961 6.7549
angles (deg): 90.00 90.00 120.00
Last column: nearest neighbours and their distance in Å.
Space group P3m1 (No. 156)
Symmetry-distinct sites (fractional):
Sm1 0.0000 0.0000 0.0000 [1 per cell]  5 In 3.12-3.40
Gd1 0.6667 0.3333 0.2590 [1 per cell]  2 Ho 3.29-3.46, 6 In 3.53-3.57, 3 Tm 3.53, 3 Sm 3.57
Ho1 0.6667 0.3333 0.7463 [1 per cell]  2 Gd 3.29-3.46, 3 Tm 3.52, 6 In 3.52-3.56, 3 Sm 3.56
Tm1 0.3333 0.6667 0.5053 [1 per cell]  5 In 3.12-3.41
In1 0.0000 0.0000 0.5035 [1 per cell]  3 Tm 3.12, 2 Sm 3.35-3.40
In2 0.3333 0.6667 0.0011 [1 per cell]  3 Sm 3.12, 2 Tm 3.35-3.41

Record 4
Entry from the Open Quantum Materials Database: a relaxed PrGdGa2I2 crystal (PBE).

Energy: -4.17 eV/atom
Theoretical density: 5.82 g cm⁻³

a b c (Å): 4.2758 4.2758 12.4630
angles (deg): 90.00 90.00 120.00
Last column: nearest neighbours and their distance in Å.
Space group P3m1 (No. 156)
Symmetry-distinct sites (fractional):
Pr1 0.0000 0.0000 0.0000 [1 per cell]  3 Ga 3.06, 3 I 3.24
Gd1 0.0000 0.0000 0.3340 [1 per cell]  3 Ga 3.00, 3 I 3.17
Ga1 0.3333 0.6667 0.1967 [1 per cell]  3 Ga 2.55
Ga2 0.6667 0.3333 0.1449 [1 per cell]  3 Ga 2.55
I1 0.3333 0.6667 0.8314 [1 per cell]  3 Pr 3.24
I2 0.6667 0.3333 0.4941 [1 per cell]  3 Gd 3.17

Record 5
Entry from the Open Quantum Materials Database: a relaxed CuGe5Mo3 crystal (PBE).

Energy: -6.29 eV/atom
Theoretical density: 7.13 g cm⁻³

a b c (Å): 5.3326 5.3326 6.7578
angles (deg): 90.00 90.00 120.00
Last column: nearest neighbours and their distance in Å.
Space group P6/mmm (No. 191)
Symmetry-distinct sites (fractional):
Cu1 0.0000 0.0000 0.0000 [1 per cell]  14 Ge 3.31-3.38
Ge1 0.0000 0.0000 0.5000 [1 per cell]  6 Mo 2.67
Ge2 0.3333 0.6667 0.1818 [4 per cell]  1 Ge 2.46, 3 Mo 2.64
Mo1 0.0000 0.5000 0.5000 [3 per cell]  6 Ge 2.64-2.67, 4 Mo 2.67

Record 6
Entry from the Open Quantum Materials Database: a relaxed ScAlNi crystal (PBE).

Energy: -5.15 eV/atom
Theoretical density: 3.93 g cm⁻³

a b c (Å): 6.0432 6.0432 6.0432
angles (deg): 90.00 90.00 90.00
Last column: nearest neighbours and their distance in Å.
Space group F-43m (No. 216)
Symmetry-distinct sites (fractional):
Sc1 0.0000 0.0000 0.0000 [4 per cell]  4 Al 2.62
Al1 0.2500 0.2500 0.7500 [4 per cell]  4 Ni 2.62, 4 Sc 2.62
Ni1 0.0000 0.0000 0.5000 [4 per cell]  4 Al 2.62

Record 7
Entry from the Open Quantum Materials Database: a relaxed SmYBr2N crystal (PBE).

Energy: -6.27 eV/atom
Theoretical density: 5.46 g cm⁻³

a b c (Å): 3.7100 3.7100 10.5444
angles (deg): 90.00 90.00 120.00
Last column: nearest neighbours and their distance in Å.
Space group P3m1 (No. 156)
Symmetry-distinct sites (fractional):
Sm1 0.0000 0.0000 0.0000 [1 per cell]  3 N 2.56
Y1 0.6667 0.3333 0.7501 [1 per cell]  3 N 2.47
Br1 0.0000 0.0000 0.5665 [1 per cell]  3 Y 2.89
Br2 0.6667 0.3333 0.1906 [1 per cell]  3 Sm 2.94
N1 0.3333 0.6667 0.8667 [1 per cell]  3 Y 2.47, 3 Sm 2.56

Record 8
Entry from the Open Quantum Materials Database: a relaxed NdCuOs crystal (PBE).

Energy: -5.95 eV/atom
Theoretical density: 10.15 g cm⁻³

a b c (Å): 6.3873 6.3873 6.3873
angles (deg): 90.00 90.00 90.00
Last column: nearest neighbours and their distance in Å.
Space group F-43m (No. 216)
Symmetry-distinct sites (fractional):
Nd1 0.0000 0.0000 0.0000 [4 per cell]  4 Os 2.77
Cu1 0.0000 0.0000 0.5000 [4 per cell]  4 Os 2.77
Os1 0.2500 0.2500 0.7500 [4 per cell]  4 Nd 2.77, 4 Cu 2.77

Q: Look up the theoretical density of the fourth one.
A: 5.82 g cm⁻³